Record 1
A plane-wave DFT calculation with PBE-GGA was carried out for a geometry-optimized TlCrHg3 structure.

* space group: Pm-3m, No. 221
* ΔH_f (0 K): 363 meV per atom
* E above lowest polymorph: 0.0 meV/atom
* E: -2.216 eV per atom
* crystal system: cubic

a b c (Å): 5.355 5.355 5.355
angles (deg): 90.00 90.00 90.00
Sites, in units of the cell vectors:
Cr1 0.000 0.000 0.000
Tl1 0.500 0.500 0.500
Hg1 0.000 0.500 0.000
Hg2 0.000 0.000 0.500
Hg3 0.500 0.000 0.000


Record 2
A plane-wave DFT calculation with PBE-GGA was carried out for a geometry-optimized CaV2Sn2 structure.

* space group: P4/mbm, No. 127
* ΔH_f (0 K): 11 meV per atom
* E above lowest polymorph: 0.0 meV/atom
* E: -5.637 eV per atom
* crystal system: tetragonal

a b c (Å): 8.187 8.187 3.016
angles (deg): 90.00 90.00 90.00
Sites, in units of the cell vectors:
Ca1 0.000 0.000 0.000
Ca2 0.500 0.500 0.000
Sn1 0.184 0.684 0.500
Sn2 0.684 0.816 0.500
Sn3 0.816 0.316 0.500
Sn4 0.316 0.184 0.500
V1 0.397 0.897 0.000
V2 0.897 0.603 0.000
V3 0.603 0.103 0.000
V4 0.103 0.397 0.000


Record 3
A plane-wave DFT calculation with PBE-GGA was carried out for a geometry-optimized Ag2H2SBr2 structure.

* space group: Immm, No. 71
* E: -2.766 eV per atom
* crystal system: orthorhombic

a b c (Å): 3.604 6.302 6.297
angles (deg): 68.58 73.37 73.38
Sites, in units of the cell vectors:
Ag1 0.500 0.286 0.715
Ag2 0.500 0.714 0.285
H1 0.149 0.851 0.850
H2 0.851 0.149 0.150
S1 0.000 0.000 0.000
Br1 0.191 0.309 0.309
Br2 0.809 0.691 0.691


Record 4
A plane-wave DFT calculation with PBE-GGA was carried out for a geometry-optimized Rb3Sm2PbS6 structure.

* space group: C2/m, No. 12
* energy relative to the elements, uncorrected: -1422 meV/atom
* E: -4.823 eV per atom
* crystal system: monoclinic

a b c (Å): 7.259 7.259 8.081
angles (deg): 98.59 98.59 120.00
Sites, in units of the cell vectors:
Rb1 0.164 0.836 0.500
Rb2 0.836 0.164 0.500
Rb3 0.500 0.500 0.500
Sm1 0.333 0.667 0.000
Sm2 0.667 0.333 0.000
Pb1 0.000 0.000 0.000
S1 0.934 0.593 0.802
S2 0.725 0.725 0.197
S3 0.066 0.407 0.198
S4 0.593 0.934 0.802
S5 0.275 0.275 0.803
S6 0.407 0.066 0.198


Record 5
A plane-wave DFT calculation with PBE-GGA was carried out for a geometry-optimized ZrPdRuPb structure.

* space group: F-43m, No. 216
* ΔH_f (0 K): -254 meV per atom
* E: -6.936 eV per atom
* crystal system: cubic

a b c (Å): 4.707 4.707 4.707
angles (deg): 60.00 60.00 60.00
Sites, in units of the cell vectors:
Pb1 0.500 0.500 0.500
Ru1 0.750 0.750 0.750
Zr1 0.000 0.000 0.000
Pd1 0.250 0.250 0.250


Record 6
A plane-wave DFT calculation with PBE-GGA was carried out for a geometry-optimized Ta2NiP structure.

* space group: F-43m, No. 216
* ΔH_f (0 K): 273 meV per atom
* E: -8.451 eV per atom
* crystal system: cubic

a b c (Å): 4.408 4.408 4.408
angles (deg): 60.00 60.00 60.00
Sites, in units of the cell vectors:
Ta1 0.000 0.000 0.000
Ta2 0.250 0.250 0.250
Ni1 0.500 0.500 0.500
P1 0.750 0.750 0.750


Record 7
A plane-wave DFT calculation with PBE-GGA was carried out for a geometry-optimized BaBeCl structure.

* space group: P-1, No. 2
* energy relative to the elements, uncorrected: -834 meV/atom
* E above lowest polymorph: 50.3 meV/atom
* E: -3.332 eV per atom
* crystal system: triclinic

a b c (Å): 4.327 4.748 10.855
angles (deg): 78.28 78.31 62.25
Sites, in units of the cell vectors:
Be1 0.722 0.553 0.502
Be2 0.278 0.447 0.498
Ba1 0.071 0.078 0.275
Ba2 0.929 0.922 0.725
Cl1 0.196 0.235 0.869
Cl2 0.804 0.765 0.131


Record 8
A plane-wave DFT calculation with PBE-GGA was carried out for a geometry-optimized Zr4PdAu structure.

* space group: Cmmm, No. 65
* ΔH_f (0 K): 291 meV per atom
* E above lowest polymorph: 740.3 meV/atom
* E: -6.820 eV per atom
* crystal system: orthorhombic

a b c (Å): 3.453 6.711 6.711
angles (deg): 90.20 90.00 90.00
Sites, in units of the cell vectors:
Zr1 0.500 0.275 0.725
Zr2 0.000 0.788 0.788
Zr3 0.000 0.212 0.212
Zr4 0.500 0.725 0.275
Pd1 0.500 0.000 0.000
Au1 0.000 0.500 0.500


> What is the formula in the fourth record?

Rb3Sm2PbS6


> Number 3 is which compound?

Ag2H2SBr2


> Which of these has the lowest E?

Ta2NiP


> Look up the E of the fifth one.

-6.936 eV per atom